Entry from Alexandria via LeMat-Bulk: crystalline Pr3NdCd4 at its relaxed geometry (GGA-PBE).

Geometry as POSCAR:
```
Pr3NdCd4
1.0
-5.065 0.413 2.019
-2.068 -6.439 -3.872
2.927 -6.106 8.591
Cd Pr Nd
8 6 2
direct
0.500 0.748 0.000 Cd
0.500 0.748 0.500 Cd
0.500 0.252 0.000 Cd
0.000 0.748 0.750 Cd
0.000 0.252 0.750 Cd
0.000 0.252 0.250 Cd
0.000 0.748 0.250 Cd
0.500 0.252 0.500 Cd
0.500 0.000 0.250 Pr
0.000 0.000 0.000 Pr
0.500 0.500 0.750 Pr
0.500 0.000 0.750 Pr
0.500 0.500 0.250 Pr
0.000 0.000 0.500 Pr
0.000 0.500 0.000 Nd
0.000 0.500 0.500 Nd
```

Values from the calculation:
formation energy from the elements = -7.366 kcal/mol of atoms
symmetry = P4/mmm
spin magnetization = 0.191 μB/atom
density = 7.24 Mg/m³
crystal system = tetragonal
D(E_F) = 9.31 states/eV/f.u.